1.
Li2ScCdGa2Pt2: optimized geometry, PBE.

E, eV per atom: -4.33

Cell lengths 4.464, 4.464, 6.423 Å; angles 90.00, 90.00, 90.00 degrees
Atoms (fractional coordinates):
Li  0.500  0.000  0.230
Li  0.000  0.500  0.770
Ga  0.000  0.000  0.500
Ga  0.500  0.500  0.000
Sc  0.500  0.500  0.500
Pt  0.000  0.500  0.265
Pt  0.500  0.000  0.735
Cd  0.000  0.000  0.000

---

2.
Li2Zn2CdGaPt2: optimized geometry, PBE.

E, eV per atom: -3.35

Cell lengths 4.386, 4.386, 6.258 Å; angles 90.00, 90.00, 90.00 degrees
Atoms (fractional coordinates):
Li  0.000  0.500  0.741
Li  0.500  0.000  0.259
Zn  0.000  0.000  0.000
Zn  0.500  0.500  0.500
Pt  0.500  0.000  0.725
Pt  0.000  0.500  0.275
Ga  0.000  0.000  0.500
Cd  0.500  0.500  0.000

---

3.
Li4Cd2GaSn: optimized geometry, PBE.

E, eV per atom: -2.38

Cell lengths 4.639, 4.639, 6.593 Å; angles 90.00, 90.00, 90.00 degrees
Atoms (fractional coordinates):
Li  0.000  0.000  0.500
Li  0.500  0.500  0.000
Li  0.000  0.500  0.260
Li  0.500  0.000  0.740
Cd  0.500  0.000  0.270
Cd  0.000  0.500  0.730
Ga  0.500  0.500  0.500
Sn  0.000  0.000  0.000

---

4.
Li4TlCd2Ga: optimized geometry, PBE.

E, eV per atom: -2.12

Cell lengths 4.650, 4.650, 6.720 Å; angles 90.00, 90.00, 90.00 degrees
Atoms (fractional coordinates):
Cd  0.000  0.500  0.228
Cd  0.500  0.000  0.772
Li  0.500  0.000  0.236
Li  0.000  0.000  0.500
Li  0.500  0.500  0.000
Li  0.000  0.500  0.764
Ga  0.000  0.000  0.000
Tl  0.500  0.500  0.500

---

5.
Li4ZnCdGa2: optimized geometry, PBE.

E, eV per atom: -2.28

Cell lengths 4.402, 4.402, 6.298 Å; angles 90.00, 90.00, 90.00 degrees
Atoms (fractional coordinates):
Li  0.500  0.000  0.264
Li  0.000  0.000  0.000
Li  0.000  0.500  0.736
Li  0.500  0.500  0.500
Zn  0.000  0.000  0.500
Ga  0.500  0.000  0.732
Ga  0.000  0.500  0.268
Cd  0.500  0.500  0.000

---

6.
LuCdGaNi: optimized geometry, PBE.

E, eV per atom: -3.73

Cell lengths 4.661, 4.661, 4.661 Å; angles 60.00, 60.00, 60.00 degrees
Atoms (fractional coordinates):
Ni  0.750  0.750  0.750
Cd  0.500  0.500  0.500
Lu  0.250  0.250  0.250
Ga  0.000  0.000  0.000

---

7.
MgCdGa4: optimized geometry, PBE.

E, eV per atom: -2.45

Cell lengths 4.386, 4.386, 7.156 Å; angles 90.00, 90.00, 120.00 degrees
Atoms (fractional coordinates):
Cd  0.000  0.000  0.000
Ga  0.667  0.333  0.793
Ga  0.667  0.333  0.207
Ga  0.333  0.667  0.690
Ga  0.333  0.667  0.310
Mg  0.000  0.000  0.500

---

8.
MgCdGa: optimized geometry, PBE.

E, eV per atom: -1.80

Cell lengths 4.597, 4.597, 4.597 Å; angles 60.00, 60.00, 60.00 degrees
Atoms (fractional coordinates):
Cd  0.000  0.000  0.000
Mg  0.750  0.750  0.750
Ga  0.250  0.250  0.250

---

Please write out number 6 again, unchanged.
LuCdGaNi: optimized geometry, PBE.

E, eV per atom: -3.73

Cell lengths 4.661, 4.661, 4.661 Å; angles 60.00, 60.00, 60.00 degrees
Atoms (fractional coordinates):
Ni  0.750  0.750  0.750
Cd  0.500  0.500  0.500
Lu  0.250  0.250  0.250
Ga  0.000  0.000  0.000